1.
Density functional theory data (PBE-GGA) for a relaxed structure of Dy12Y7Er.

a = 8.6858 Å, b = 8.6858 Å, c = 8.6858 Å
α = 94.96°, β = 94.96°, γ = 94.96°
Sites, in units of the cell vectors:
Dy1 0.1455 0.4770 0.4136
Dy2 0.1887 0.3181 0.7495
Dy3 0.2505 0.8113 0.6819
Dy4 0.3181 0.7495 0.1887
Dy5 0.4136 0.1455 0.4770
Dy6 0.4770 0.4136 0.1455
Dy7 0.5230 0.5864 0.8545
Dy8 0.5864 0.8545 0.5230
Dy9 0.6819 0.2505 0.8113
Dy10 0.7495 0.1887 0.3181
Dy11 0.8113 0.6819 0.2505
Dy12 0.8545 0.5230 0.5864
Y1 0.0159 0.3495 0.0812
Y2 0.0812 0.0159 0.3495
Y3 0.3495 0.0812 0.0159
Y4 0.5000 0.5000 0.5000
Y5 0.6505 0.9188 0.9841
Y6 0.9188 0.9841 0.6505
Y7 0.9841 0.6505 0.9188
Er1 0.0000 0.0000 0.0000

Computed properties:
Energy above the lowest structure with this stoichiometry = 0 meV/atom
Density = 7.0 g/cm3
M_tot = 0.00 μB per cell
Formation energy = 0.302 eV per atom

---

2.
Density functional theory data (PBE-GGA) for a relaxed structure of SrLa2Sc.

a = 6.3926 Å, b = 6.3926 Å, c = 6.5186 Å
α = 99.89°, β = 99.89°, γ = 33.61°
Sites, in units of the cell vectors:
Sr1 0.0000 0.0000 0.0000
La1 0.2374 0.2374 0.6960
La2 0.4863 0.4863 0.4924
Sc1 0.7511 0.7511 0.2478

Computed properties:
Energy above the lowest structure with this stoichiometry = 95 meV/atom
Density = 4.7 g/cm3
M_tot = 0.00 μB per cell
Formation energy = 0.194 eV per atom

---

3.
Density functional theory data (PBE-GGA) for a relaxed structure of MnZn.

a = 8.7769 Å, b = 8.7769 Å, c = 8.7769 Å
α = 16.89°, β = 16.89°, γ = 16.89°
Sites, in units of the cell vectors:
Mn1 0.1317 0.1317 0.1317
Mn2 0.8683 0.8683 0.8683
Zn1 0.3803 0.3803 0.3803
Zn2 0.6197 0.6197 0.6197

Computed properties:
Density = 8.0 g/cm3
M_tot = 0.00 μB per cell
Formation energy = 0.093 eV per atom

---

4.
Density functional theory data (PBE-GGA) for a relaxed structure of CaMn2Se.

a = 4.8572 Å, b = 4.8572 Å, c = 4.8572 Å
α = 60.00°, β = 60.00°, γ = 60.00°
Sites, in units of the cell vectors:
Ca1 0.0000 0.0000 0.0000
Mn1 0.5000 0.5000 0.5000
Mn2 0.7500 0.7500 0.7500
Se1 0.2500 0.2500 0.2500

Computed properties:
Density = 4.7 g/cm3
M_tot = 8.01 μB per cell
ΔE_f (raw) = 0.9 eV per formula unit